Density functional theory data (GGA-PBE) for crystalline MgAlV3 at its relaxed geometry. Values from VASP.

```
&SYSTEM
  ibrav = 0, nat = 5, ntyp = 3
/
ATOMIC_SPECIES
V 50.94 V.upf
Al 26.98 Al.upf
Mg 24.30 Mg.upf
CELL_PARAMETERS angstrom
4.478 0.000 0.000
0.000 4.478 0.000
0.000 0.000 4.478
ATOMIC_POSITIONS crystal
V 0.000 0.000 0.500
Al 0.500 0.500 0.500
Mg 0.000 0.000 0.000
V 0.500 0.000 0.000
V 0.000 0.500 0.000
```

The uncorrected energy is -4.9308 eV per atom. The volume is 89.8 Å³ per cell. The formation energy is 8.04 eV per formula unit. As for the space group: Pm-3m, No. 221. The calculation puts the energy above the most stable polymorph in this dataset at 2.41 eV/f.u.